No. 1
Here is crystalline U3Ta2WC6 at its relaxed geometry from Alexandria. Energies are from PBE.

Lattice parameters (Å, degrees): 5.6156 5.6156 5.8841 99.16 99.16 120.04
Last column: nearest neighbours and their distance in Å.
Sites, in units of the cell vectors:
U1 0.0000 0.0000 0.0000  6 C 2.42-2.43
U2 0.3322 0.6678 0.0000  6 C 2.42-2.43
U3 0.6678 0.3322 0.0000  6 C 2.42-2.43
Ta1 0.1666 0.8334 0.5000  6 C 2.25-2.26
Ta2 0.8334 0.1666 0.5000  6 C 2.25-2.26
W1 0.5000 0.5000 0.5000  6 C 2.24
C1 0.0947 0.4256 0.2771  1 W 2.24, 2 Ta 2.25, 3 U 2.42-2.43
C2 0.2438 0.2438 0.7242  1 W 2.24, 2 Ta 2.26, 3 U 2.42-2.43
C3 0.4256 0.0947 0.2771  1 W 2.24, 2 Ta 2.25, 3 U 2.42-2.43
C4 0.5744 0.9053 0.7229  1 W 2.24, 2 Ta 2.25, 3 U 2.42-2.43
C5 0.7562 0.7562 0.2758  1 W 2.24, 2 Ta 2.26, 3 U 2.42-2.43
C6 0.9053 0.5744 0.7229  1 W 2.24, 2 Ta 2.25, 3 U 2.42-2.43

Values from the calculation:
- Magnetization: 0.106 μB/atom
- Calculated total energy: -10.883 eV per atom
- Fermi-level density of states: 0.890 states/eV/atom
- Calculated volume: 152 Å³ per cell
- Formation energy from the elements: -4.72 eV per formula unit
- SG: C2/m

---

No. 2
Here is crystalline UTa2WC4 at its relaxed geometry from Alexandria. Energies are from PBE.

Lattice parameters (Å, degrees): 5.9312 5.9312 11.2198 90.00 90.00 148.49
Last column: nearest neighbours and their distance in Å.
Sites, in units of the cell vectors:
U1 0.1196 0.8804 0.7500  6 C 2.40-2.59
U2 0.8804 0.1196 0.2500  6 C 2.40-2.59
Ta1 0.3712 0.6288 0.5350  3 C 2.09-2.22
Ta2 0.3712 0.6288 0.9650  3 C 2.09-2.22
Ta3 0.6288 0.3712 0.0350  3 C 2.09-2.22
Ta4 0.6288 0.3712 0.4650  3 C 2.09-2.22
W1 0.1468 0.8532 0.2500  4 C 2.02-2.05
W2 0.8532 0.1468 0.7500  4 C 2.02-2.05
C1 0.0000 0.0000 0.0000  4 Ta 2.22
C2 0.0000 0.0000 0.5000  4 Ta 2.22
C3 0.2631 0.7369 0.1148  1 W 2.02, 1 Ta 2.09
C4 0.2631 0.7369 0.3852  1 W 2.02, 1 Ta 2.09
C5 0.4637 0.5363 0.7500  2 W 2.05
C6 0.5363 0.4637 0.2500  2 W 2.05
C7 0.7369 0.2631 0.6148  1 W 2.02, 1 Ta 2.09
C8 0.7369 0.2631 0.8852  1 W 2.02, 1 Ta 2.09

Values from the calculation:
- Magnetization: 0.163 μB/atom
- Calculated total energy: -10.781 eV per atom
- Fermi-level density of states: 0.735 states/eV/atom
- Calculated volume: 206 Å³ per cell
- Formation energy from the elements: -1.40 eV per formula unit
- SG: Cmcm

---

No. 3
Here is crystalline YU2TaC4 at its relaxed geometry from Alexandria. Energies are from PBE.

Lattice parameters (Å, degrees): 6.8603 6.8603 6.8603 121.09 119.43 89.55
Last column: nearest neighbours and their distance in Å.
Sites, in units of the cell vectors:
Y1 0.0000 0.0000 0.0000  6 C 2.48-2.51
Y2 0.5000 0.0000 0.5000  6 C 2.48-2.51
U1 0.0000 0.5000 0.5000  6 C 2.33-2.39
U2 0.5000 0.0000 0.0000  6 C 2.49-2.54
U3 0.5000 0.5000 0.0000  6 C 2.33-2.39
U4 0.5000 0.5000 0.5000  6 C 2.49-2.54
Ta1 0.0000 0.0000 0.5000  6 C 2.34
Ta2 0.0000 0.5000 0.0000  6 C 2.34
C1 0.2306 0.7454 0.4852  2 Ta 2.34, 3 U 2.39-2.49, 1 Y 2.48
C2 0.2399 0.2546 0.9852  2 Ta 2.34, 3 U 2.39-2.49, 1 Y 2.48
C3 0.2398 0.2589 0.5191  3 U 2.33-2.54, 1 Ta 2.34, 2 Y 2.51
C4 0.2398 0.7207 0.9809  3 U 2.33-2.54, 1 Ta 2.34, 2 Y 2.51
C5 0.7602 0.2793 0.0191  3 U 2.33-2.54, 1 Ta 2.34, 2 Y 2.51
C6 0.7602 0.7411 0.4809  3 U 2.33-2.54, 1 Ta 2.34, 2 Y 2.51
C7 0.7601 0.7454 0.0148  2 Ta 2.34, 3 U 2.39-2.49, 1 Y 2.48
C8 0.7694 0.2546 0.5148  2 Ta 2.34, 3 U 2.39-2.49, 1 Y 2.48

Values from the calculation:
- Magnetization: 0.043 μB/atom
- Calculated total energy: -10.053 eV per atom
- Fermi-level density of states: 0.608 states/eV/atom
- Calculated volume: 227 Å³ per cell
- Formation energy from the elements: -2.64 eV per formula unit
- SG: Imma

---

No. 4
Here is crystalline ZrU2TaC4 at its relaxed geometry from Alexandria. Energies are from PBE.

Lattice parameters (Å, degrees): 5.7548 3.3274 5.9482 90.00 108.82 90.00
Last column: nearest neighbours and their distance in Å.
Sites, in units of the cell vectors:
Zr1 0.0000 0.0000 0.0000  6 C 2.36-2.37
U1 0.0000 0.5000 0.5000  6 C 2.46-2.47
U2 0.5000 0.0000 0.5000  6 C 2.40
Ta1 0.5000 0.5000 0.0000  6 C 2.29-2.30
C1 0.2563 0.5000 0.2380  1 Ta 2.29, 2 Zr 2.37, 3 U 2.40-2.47
C2 0.2644 0.0000 0.7675  2 Ta 2.30, 1 Zr 2.36, 3 U 2.40-2.46
C3 0.7356 0.0000 0.2325  2 Ta 2.30, 1 Zr 2.36, 3 U 2.40-2.46
C4 0.7437 0.5000 0.7620  1 Ta 2.29, 2 Zr 2.37, 3 U 2.40-2.47

Values from the calculation:
- Magnetization: 0.001 μB/atom
- Calculated total energy: -10.470 eV per atom
- Fermi-level density of states: 0.779 states/eV/atom
- Calculated volume: 108 Å³ per cell
- Formation energy from the elements: -3.89 eV per formula unit
- SG: P2/m

---

No. 5
Here is crystalline ZrUTaC3 at its relaxed geometry from Alexandria. Energies are from PBE.

Lattice parameters (Å, degrees): 5.6810 3.3081 8.6624 90.00 102.44 90.00
Last column: nearest neighbours and their distance in Å.
Sites, in units of the cell vectors:
Zr1 0.2291 0.2500 0.4483  6 C 2.34-2.45
Zr2 0.7709 0.7500 0.5517  6 C 2.34-2.45
U1 0.3527 0.7500 0.8077  7 C 2.43-2.54
U2 0.6473 0.2500 0.1923  7 C 2.43-2.54
Ta1 0.1306 0.7500 0.1339  5 C 2.16-2.28
Ta2 0.8694 0.2500 0.8661  5 C 2.16-2.28
C1 0.0547 0.2500 0.6692  1 Ta 2.19, 3 Zr 2.34-2.38
C2 0.2578 0.2500 0.0075  3 Ta 2.19-2.28, 1 U 2.44
C3 0.4464 0.7500 0.3242  1 Ta 2.16, 1 Zr 2.39
C4 0.5536 0.2500 0.6758  1 Ta 2.16, 1 Zr 2.39
C5 0.7422 0.7500 0.9925  3 Ta 2.19-2.28, 1 U 2.44
C6 0.9453 0.7500 0.3308  1 Ta 2.19, 3 Zr 2.34-2.38

Values from the calculation:
- Magnetization: 0.000 μB/atom
- Calculated total energy: -10.405 eV per atom
- Fermi-level density of states: 0.597 states/eV/atom
- Calculated volume: 159 Å³ per cell
- Formation energy from the elements: -3.07 eV per formula unit
- SG: P2_1/m

---

No. 6
Here is crystalline Zr2U3TaC6 at its relaxed geometry from Alexandria. Energies are from PBE.

Lattice parameters (Å, degrees): 5.7967 5.7967 5.9652 99.32 99.32 119.99
Last column: nearest neighbours and their distance in Å.
Sites, in units of the cell vectors:
Zr1 0.1663 0.8337 0.0000  6 C 2.38-2.39
Zr2 0.8337 0.1663 0.0000  6 C 2.38-2.39
U1 0.0000 0.0000 0.5000  6 C 2.41-2.47
U2 0.3314 0.6686 0.5000  6 C 2.41-2.47
U3 0.6686 0.3314 0.5000  6 C 2.41-2.47
Ta1 0.5000 0.5000 0.0000  6 C 2.30-2.31
C1 0.0986 0.4208 0.7618  1 Ta 2.30, 2 Zr 2.38, 3 U 2.41-2.47
C2 0.2581 0.2581 0.2410  1 Ta 2.31, 2 Zr 2.39, 3 U 2.41-2.47
C3 0.4208 0.0986 0.7618  1 Ta 2.30, 2 Zr 2.38, 3 U 2.41-2.47
C4 0.5792 0.9014 0.2382  1 Ta 2.30, 2 Zr 2.38, 3 U 2.41-2.47
C5 0.7419 0.7419 0.7590  1 Ta 2.31, 2 Zr 2.39, 3 U 2.41-2.47
C6 0.9014 0.5792 0.2382  1 Ta 2.30, 2 Zr 2.38, 3 U 2.41-2.47

Values from the calculation:
- Magnetization: 0.000 μB/atom
- Calculated total energy: -10.337 eV per atom
- Fermi-level density of states: 0.720 states/eV/atom
- Calculated volume: 164 Å³ per cell
- Formation energy from the elements: -5.89 eV per formula unit
- SG: C2/m

---

No. 7
Here is crystalline Ta3VC at its relaxed geometry from Alexandria. Energies are from PBE.

Lattice parameters (Å, degrees): 4.5866 4.5866 4.5866 90.00 90.00 90.00
Last column: nearest neighbours and their distance in Å.
Sites, in units of the cell vectors:
Ta1 0.0000 0.0000 0.5000  2 V 2.29
Ta2 0.0000 0.5000 0.0000  2 V 2.29
Ta3 0.5000 0.0000 0.0000  2 V 2.29
V1 0.0000 0.0000 0.0000  6 Ta 2.29
C1 0.5000 0.5000 0.5000  12 Ta 3.24

Values from the calculation:
- Magnetization: 0.000 μB/atom
- Calculated total energy: -8.433 eV per atom
- Fermi-level density of states: 1.042 states/eV/atom
- Calculated volume: 96 Å³ per cell
- Formation energy from the elements: 11.73 eV per formula unit
- SG: Pm-3m

---

No. 8
Here is crystalline TaVC2 at its relaxed geometry from Alexandria. Energies are from PBE.

Lattice parameters (Å, degrees): 3.0798 3.0798 14.9023 90.00 90.00 120.00
Last column: nearest neighbours and their distance in Å.
Sites, in units of the cell vectors:
Ta1 0.0000 0.0000 0.0000  6 C 2.20
Ta2 0.3333 0.6667 0.6667  6 C 2.20
Ta3 0.6667 0.3333 0.3333  6 C 2.20
V1 0.0000 0.0000 0.5000  6 C 2.14
V2 0.3333 0.6667 0.1667  6 C 2.14
V3 0.6667 0.3333 0.8333  6 C 2.14
C1 0.0000 0.0000 0.2460  3 V 2.14, 3 Ta 2.20
C2 0.0000 0.0000 0.7540  3 V 2.14, 3 Ta 2.20
C3 0.3333 0.6667 0.4207  3 V 2.14, 3 Ta 2.20
C4 0.3333 0.6667 0.9127  3 V 2.14, 3 Ta 2.20
C5 0.6667 0.3333 0.0873  3 V 2.14, 3 Ta 2.20
C6 0.6667 0.3333 0.5793  3 V 2.14, 3 Ta 2.20

Values from the calculation:
- Magnetization: 0.000 μB/atom
- Calculated total energy: -10.332 eV per atom
- Fermi-level density of states: 0.291 states/eV/atom
- Calculated volume: 122 Å³ per cell
- Formation energy from the elements: -1.91 eV per formula unit
- SG: R-3m

---

No. 9
Here is crystalline Ta2V3C4 at its relaxed geometry from Alexandria. Energies are from PBE.

Lattice parameters (Å, degrees): 5.1782 5.1782 7.3543 116.89 116.89 34.03
Last column: nearest neighbours and their distance in Å.
Sites, in units of the cell vectors:
Ta1 0.0991 0.0991 0.3917  4 C 2.12-2.23
Ta2 0.9009 0.9009 0.6083  4 C 2.12-2.23
V1 0.2866 0.2866 0.1817  5 C 1.99-2.12
V2 0.5000 0.5000 0.0000  6 C 2.13
V3 0.7134 0.7134 0.8183  5 C 1.99-2.12
C1 0.1043 0.1043 0.9041  5 V 1.99-2.13, 1 Ta 2.15
C2 0.3009 0.3009 0.7066  3 V 2.10-2.13, 3 Ta 2.12-2.23
C3 0.6991 0.6991 0.2934  3 V 2.10-2.13, 3 Ta 2.12-2.23
C4 0.8957 0.8957 0.0959  5 V 1.99-2.13, 1 Ta 2.15

Values from the calculation:
- Magnetization: 0.000 μB/atom
- Calculated total energy: -10.267 eV per atom
- Fermi-level density of states: 0.459 states/eV/atom
- Calculated volume: 97 Å³ per cell
- Formation energy from the elements: -4.45 eV per formula unit
- SG: C2/m

---

No. 10
Here is crystalline TaV3C3 at its relaxed geometry from Alexandria. Energies are from PBE.

Lattice parameters (Å, degrees): 6.2634 6.2634 6.2634 56.37 56.37 56.37
Last column: nearest neighbours and their distance in Å.
Sites, in units of the cell vectors:
Ta1 0.1729 0.1729 0.1729  6 C 2.21-2.36
Ta2 0.8271 0.8271 0.8271  6 C 2.21-2.36
V1 0.1205 0.3693 0.6636  4 C 2.01-2.12
V2 0.3364 0.8795 0.6307  4 C 2.01-2.12
V3 0.3693 0.6636 0.1205  4 C 2.01-2.12
V4 0.6307 0.3364 0.8795  4 C 2.01-2.12
V5 0.6636 0.1205 0.3693  4 C 2.01-2.12
V6 0.8795 0.6307 0.3364  4 C 2.01-2.12
C1 0.0314 0.7925 0.4197  4 V 2.01-2.12, 1 Ta 2.21
C2 0.2075 0.5803 0.9686  4 V 2.01-2.12, 1 Ta 2.21
C3 0.4197 0.0314 0.7925  4 V 2.01-2.12, 1 Ta 2.21
C4 0.5803 0.9686 0.2075  4 V 2.01-2.12, 1 Ta 2.21
C5 0.7925 0.4197 0.0314  4 V 2.01-2.12, 1 Ta 2.21
C6 0.9686 0.2075 0.5803  4 V 2.01-2.12, 1 Ta 2.21

Values from the calculation:
- Magnetization: 0.000 μB/atom
- Calculated total energy: -9.740 eV per atom
- Fermi-level density of states: 0.361 states/eV/atom
- Calculated volume: 159 Å³ per cell
- Formation energy from the elements: -1.30 eV per formula unit
- SG: R-3

---

No. 11
Here is crystalline Ta2VC3 at its relaxed geometry from Alexandria. Energies are from PBE.

Lattice parameters (Å, degrees): 5.3950 5.3950 5.3620 99.68 99.68 120.04
Last column: nearest neighbours and their distance in Å.
Sites, in units of the cell vectors:
Ta1 0.0000 0.0000 0.0000  6 C 2.20
Ta2 0.1682 0.8318 0.5000  6 C 2.18-2.24
Ta3 0.5000 0.5000 0.5000  6 C 2.20-2.22
Ta4 0.8318 0.1682 0.5000  6 C 2.18-2.24
V1 0.3325 0.6675 0.0000  6 C 2.17
V2 0.6675 0.3325 0.0000  6 C 2.17
C1 0.0816 0.4192 0.2441  2 V 2.17, 4 Ta 2.18-2.23
C2 0.2577 0.2577 0.7578  2 V 2.17, 4 Ta 2.20-2.24
C3 0.4192 0.0816 0.2441  2 V 2.17, 4 Ta 2.18-2.23
C4 0.5808 0.9184 0.7559  2 V 2.17, 4 Ta 2.18-2.23
C5 0.7423 0.7423 0.2422  2 V 2.17, 4 Ta 2.20-2.24
C6 0.9184 0.5808 0.7559  2 V 2.17, 4 Ta 2.18-2.23

Values from the calculation:
- Magnetization: 0.000 μB/atom
- Calculated total energy: -10.581 eV per atom
- Fermi-level density of states: 0.346 states/eV/atom
- Calculated volume: 127 Å³ per cell
- Formation energy from the elements: -2.99 eV per formula unit
- SG: C2/m